{"formula": "Dy5ZrAg4", "functional": "GGA-PBE", "state": "relaxed", "cell": [[-1.588, -0.314, 3.163], [-1.540, -3.016, -1.073], [15.257, -10.155, 6.650]], "species": ["Dy", "Dy", "Dy", "Dy", "Dy", "Zr", "Ag", "Ag", "Ag", "Ag"], "fractional_positions": [[0.500, 0.500, 0.114], [0.500, 0.500, 0.307], [0.500, 0.500, 0.500], [0.500, 0.500, 0.693], [0.500, 0.500, 0.886], [0.000, 0.000, 0.000], [0.000, 0.000, 0.211], [0.000, 0.000, 0.404], [0.000, 0.000, 0.596], [0.000, 0.000, 0.789]], "formation_enthalpy_0k_mev_per_atom": -228.6}